The following is a DFT calculation (PBE) of a relaxed structure of Co3SiH.

Unit cell a=6.373 b=4.498 c=7.142 alpha=90.00 beta=112.85 gamma=90.00
Atoms (fractional coordinates):
Co  0.031  0.079  0.336
Co  0.031  0.421  0.836
Co  0.194  0.559  0.537
Co  0.194  0.941  0.037
Co  0.386  0.173  0.800
Co  0.386  0.327  0.300
Co  0.614  0.673  0.700
Co  0.614  0.827  0.200
Co  0.806  0.059  0.963
Co  0.806  0.441  0.463
Co  0.969  0.579  0.164
Co  0.969  0.921  0.664
Si  0.371  0.677  0.876
Si  0.371  0.823  0.376
Si  0.629  0.177  0.624
Si  0.629  0.323  0.124
H  0.079  0.233  0.589
H  0.079  0.267  0.089
H  0.921  0.733  0.911
H  0.921  0.767  0.411

Properties
M_tot, μB/cell: 10.46
Uncorrected energy, eV/atom: -6.150
Fermi-level density of states, states/eV per atom: 0.704
V, Å³ per cell: 188.7
Energy relative to the lowest polymorph listed for this composition, eV per formula unit: 0.750

The following is a DFT calculation (PBE) of a relaxed structure of MgAuCl2.

Unit cell a=3.096 b=3.096 c=10.681 alpha=90.00 beta=90.00 gamma=90.00
Atoms (fractional coordinates):
Mg  0.000  0.000  0.000
Au  0.000  0.000  0.500
Cl  0.500  0.500  0.142
Cl  0.500  0.500  0.858

Properties
M_tot, μB/cell: 0.00
Uncorrected energy, eV/atom: -2.883
Fermi-level density of states, states/eV per atom: 0.142
V, Å³ per cell: 102.4
Energy relative to the lowest polymorph listed for this composition, eV per formula unit: 0.985
ΔE_f (raw), eV/atom: -0.74

The following is a DFT calculation (PBE) of a relaxed structure of Mg4SnSb.

Unit cell a=4.861 b=4.861 c=6.814 alpha=90.00 beta=90.00 gamma=90.00
Atoms (fractional coordinates):
Mg  0.000  0.500  0.243
Mg  0.000  0.500  0.757
Mg  0.500  0.000  0.243
Mg  0.500  0.000  0.757
Sn  0.000  0.000  0.000
Sb  0.500  0.500  0.500

Properties
M_tot, μB/cell: 0.00
Uncorrected energy, eV/atom: -2.611
Fermi-level density of states, states/eV per atom: 0.433
V, Å³ per cell: 161.0
ΔE_f (raw), eV/atom: -0.19

The following is a DFT calculation (PBE) of a relaxed structure of AlOsOF2.

Unit cell a=4.048 b=4.048 c=3.551 alpha=90.00 beta=90.00 gamma=90.00
Atoms (fractional coordinates):
Al  0.000  0.000  0.000
Os  0.500  0.500  0.500
O  0.000  0.000  0.500
F  0.000  0.500  0.000
F  0.500  0.000  0.000

Properties
M_tot, μB/cell: 3.39
Uncorrected energy, eV/atom: -5.603
Fermi-level density of states, states/eV per atom: 0.665
V, Å³ per cell: 58.2
Energy relative to the lowest polymorph listed for this composition, eV per formula unit: 0.000
ΔE_f (raw), eV/atom: -0.87

The following is a DFT calculation (PBE) of a relaxed structure of Pm4Dy5Hg.

Unit cell a=3.610 b=3.610 c=24.191 alpha=90.00 beta=90.00 gamma=90.00
Atoms (fractional coordinates):
Pm  0.000  0.000  0.104
Pm  0.000  0.000  0.314
Pm  0.000  0.000  0.686
Pm  0.000  0.000  0.896
Dy  0.500  0.500  0.000
Dy  0.500  0.500  0.209
Dy  0.500  0.500  0.418
Dy  0.500  0.500  0.582
Dy  0.500  0.500  0.791
Hg  0.000  0.000  0.500

Properties
M_tot, μB/cell: 0.00
Uncorrected energy, eV/atom: -4.314
Fermi-level density of states, states/eV per atom: 1.280
V, Å³ per cell: 315.2
ΔE_f, eV per atom: -0.083

The following is a DFT calculation (PBE) of a relaxed structure of Ta2MoCl.

Unit cell a=2.969 b=2.969 c=8.779 alpha=90.00 beta=90.00 gamma=114.38
Atoms (fractional coordinates):
Ta  0.000  0.000  0.241
Ta  0.000  0.000  0.759
Mo  0.500  0.500  0.000
Cl  0.500  0.500  0.500

Properties
M_tot, μB/cell: 0.00
Uncorrected energy, eV/atom: -9.017
Fermi-level density of states, states/eV per atom: 0.752
V, Å³ per cell: 70.5
Energy relative to the lowest polymorph listed for this composition, eV per formula unit: 0.000
ΔE_f (raw), eV/atom: 0.08

The following is a DFT calculation (PBE) of a relaxed structure of TmThSe2N.

Unit cell a=4.047 b=4.047 c=14.505 alpha=90.00 beta=90.00 gamma=90.00
Atoms (fractional coordinates):
Tm  0.250  0.250  0.119
Tm  0.750  0.750  0.881
Th  0.250  0.250  0.582
Th  0.750  0.750  0.418
Se  0.250  0.250  0.299
Se  0.250  0.250  0.911
Se  0.750  0.750  0.089
Se  0.750  0.750  0.701
N  0.250  0.750  0.500
N  0.750  0.250  0.500

Properties
M_tot, μB/cell: 0.00
Uncorrected energy, eV/atom: -7.278
Fermi-level density of states, states/eV per atom: 0.381
V, Å³ per cell: 237.6
ΔE_f (raw), eV/atom: -1.84

The following is a DFT calculation (PBE) of a relaxed structure of MnZn2Fe.

Unit cell a=4.546 b=4.546 c=2.666 alpha=90.00 beta=90.00 gamma=108.60
Atoms (fractional coordinates):
Mn  0.000  0.000  0.000
Zn  0.000  0.500  0.500
Zn  0.500  0.000  0.500
Fe  0.500  0.500  0.000

Properties
M_tot, μB/cell: 5.29
Uncorrected energy, eV/atom: -5.025
Fermi-level density of states, states/eV per atom: 0.500
V, Å³ per cell: 52.2
Energy relative to the lowest polymorph listed for this composition, eV per formula unit: 0.020
ΔE_f, eV per atom: 0.020